one.
{"formula": "MnFeAsSe2", "functional": "PBE", "state": "relaxed", "lattice": [[-3.939, -2.349, -1.153], [2.472, -2.655, -3.033], [0.787, -2.869, 3.153]], "species": ["As", "Se", "Se", "Mn", "Fe"], "frac_coords": [[0.000, 0.000, 0.500], [0.500, 0.000, 0.000], [0.000, 0.500, 0.000], [0.500, 0.500, 0.500], [0.000, 0.000, 0.000]], "crystal_system": "tetragonal"}

two.
{"formula": "MnFeAsSe2", "functional": "PBE", "state": "relaxed", "lattice": [[4.629, 0.000, 0.000], [0.000, 4.629, 0.000], [0.000, 0.000, 4.481]], "species": ["Fe", "As", "Mn", "Se", "Se"], "frac_coords": [[0.500, 0.500, 0.500], [0.000, 0.000, 0.500], [0.000, 0.000, 0.000], [0.000, 0.500, 0.000], [0.500, 0.000, 0.000]], "crystal_system": "tetragonal"}

Which of them is the most stable, and which is the least stable? one and two, in that order.

one.
{"formula": "FeMo2As2", "functional": "PBE", "state": "relaxed", "lattice": [[4.311, 0.000, 0.000], [0.000, 4.311, 0.000], [2.156, 2.156, 4.733]], "species": ["Fe", "As", "As", "Mo", "Mo"], "frac_coords": [[0.000, 0.000, 0.000], [0.377, 0.377, 0.246], [0.623, 0.623, 0.754], [0.750, 0.250, 0.500], [0.250, 0.750, 0.500]], "crystal_system": "tetragonal"}

two.
{"formula": "FeMo2As2", "functional": "PBE", "state": "relaxed", "lattice": [[6.882, 0.000, 0.000], [0.000, 6.882, 0.000], [0.000, 0.000, 3.254]], "species": ["As", "Mo", "Mo", "Fe", "Mo", "As", "As", "Mo", "Fe", "As"], "frac_coords": [[0.653, 0.153, 0.000], [0.646, 0.854, 0.500], [0.146, 0.646, 0.500], [0.500, 0.500, 0.000], [0.354, 0.146, 0.500], [0.847, 0.653, 0.000], [0.153, 0.347, 0.000], [0.854, 0.354, 0.500], [0.000, 0.000, 0.000], [0.347, 0.847, 0.000]], "crystal_system": "tetragonal"}

Which of them is the most stable, and which is the least stable? two and one, in that order.

one.
{"formula": "FeMo3As", "functional": "PBE", "state": "relaxed", "lattice": [[-0.124, 3.240, -3.187], [-4.109, -1.443, -1.306], [-1.942, 2.844, 2.967]], "species": ["Mo", "Fe", "Mo", "As", "Mo"], "frac_coords": [[0.000, 0.500, 0.000], [0.500, 0.500, 0.500], [0.000, 0.000, 0.500], [0.000, 0.000, 0.000], [0.500, 0.000, 0.000]], "crystal_system": "cubic"}

two.
{"formula": "FeMo3As", "functional": "PBE", "state": "relaxed", "lattice": [[4.472, 0.000, 0.000], [0.000, 4.472, 0.000], [0.000, 0.000, 4.472]], "species": ["Mo", "Mo", "As", "Mo", "Fe"], "frac_coords": [[0.000, 0.000, 0.500], [0.000, 0.500, 0.000], [0.500, 0.500, 0.500], [0.500, 0.000, 0.000], [0.000, 0.000, 0.000]], "crystal_system": "cubic"}

Which of them is the most stable, and which is the least stable? two and one, in that order.